P | # PBE Zn2Ag2H, relaxed
# - Calculated density: 7.92 Mg/m³
data_Zn2Ag2H
_chemical_formula_sum 'Zn4 Ag4 H2'
_space_group_name_H-M_alt 'P 1'
_space_group_IT_number 1
_cell_length_a 5.507
_cell_length_b 5.507
_cell_length_c 4.805
_cell_angle_alpha 90.00
_cell_angle_beta 90.00
_cell_angle_gamma 90.00
loop_
_space_group_symop_operation_xyz
'x,y,z'
loop_
_atom_site_label
_atom_site_fract_x
_atom_site_fract_y
_atom_site_fract_z
_atom_site_occupancy
Zn1 0.168 0.332 0.000 1
Zn2 0.332 0.832 0.000 1
Zn3 0.668 0.168 0.000 1
Zn4 0.832 0.668 0.000 1
Ag1 0.172 0.672 0.500 1
Ag2 0.328 0.172 0.500 1
Ag3 0.672 0.828 0.500 1
Ag4 0.828 0.328 0.500 1
H1 0.000 0.000 0.000 1
H2 0.500 0.500 0.000 1

***

Q | # PBE Zn2Ag2H, relaxed
# - Calculated density: 7.88 Mg/m³
data_Zn2Ag2H
_chemical_formula_sum 'Zn4 Ag4 H2'
_space_group_name_H-M_alt 'P 1'
_space_group_IT_number 1
_cell_length_a 5.612
_cell_length_b 5.612
_cell_length_c 4.652
_cell_angle_alpha 90.00
_cell_angle_beta 90.00
_cell_angle_gamma 90.00
loop_
_space_group_symop_operation_xyz
'x,y,z'
loop_
_atom_site_label
_atom_site_fract_x
_atom_site_fract_y
_atom_site_fract_z
_atom_site_occupancy
Zn1 0.158 0.342 0.000 1
Zn2 0.342 0.842 0.000 1
Zn3 0.658 0.158 0.000 1
Zn4 0.842 0.658 0.000 1
Ag1 0.176 0.676 0.500 1
Ag2 0.324 0.176 0.500 1
Ag3 0.676 0.824 0.500 1
Ag4 0.824 0.324 0.500 1
H1 0.000 0.000 0.500 1
H2 0.500 0.500 0.500 1

***

Which of them is most stable? Easy: Q.

***

P | # PBE ZrAgH, relaxed
# - Calculated density: 7.78 Mg/m³
data_ZrAgH
_chemical_formula_sum 'Zr2 Ag2 H2'
_space_group_name_H-M_alt 'P 1'
_space_group_IT_number 1
_cell_length_a 3.369
_cell_length_b 3.917
_cell_length_c 6.474
_cell_angle_alpha 91.45
_cell_angle_beta 90.07
_cell_angle_gamma 90.08
loop_
_space_group_symop_operation_xyz
'x,y,z'
loop_
_atom_site_label
_atom_site_fract_x
_atom_site_fract_y
_atom_site_fract_z
_atom_site_occupancy
Zr1 0.250 0.234 0.150 1
Zr2 0.750 0.766 0.850 1
Ag1 0.250 0.255 0.608 1
Ag2 0.750 0.745 0.392 1
H1 0.250 0.727 0.027 1
H2 0.750 0.273 0.973 1

***

Q | # PBE ZrAgH, relaxed
# - Calculated density: 7.48 Mg/m³
data_ZrAgH
_chemical_formula_sum 'Zr2 Ag2 H2'
_space_group_name_H-M_alt 'P 1'
_space_group_IT_number 1
_cell_length_a 3.189
_cell_length_b 3.189
_cell_length_c 10.087
_cell_angle_alpha 90.00
_cell_angle_beta 90.00
_cell_angle_gamma 120.00
loop_
_space_group_symop_operation_xyz
'x,y,z'
loop_
_atom_site_label
_atom_site_fract_x
_atom_site_fract_y
_atom_site_fract_z
_atom_site_occupancy
Zr1 0.333 0.667 0.349 1
Zr2 0.667 0.333 0.651 1
Ag1 0.333 0.667 0.886 1
Ag2 0.667 0.333 0.114 1
H1 0.333 0.667 0.556 1
H2 0.667 0.333 0.444 1

***

Which of them is most stable? Easy: P.

***

P | # PBE ZrAg3H, relaxed
# - Calculated density: 4.19 Mg/m³
data_ZrAg3H
_chemical_formula_sum 'Zr1 Ag3 H1'
_space_group_name_H-M_alt 'P 1'
_space_group_IT_number 1
_cell_length_a 5.485
_cell_length_b 5.485
_cell_length_c 5.485
_cell_angle_alpha 90.00
_cell_angle_beta 90.00
_cell_angle_gamma 90.00
loop_
_space_group_symop_operation_xyz
'x,y,z'
loop_
_atom_site_label
_atom_site_fract_x
_atom_site_fract_y
_atom_site_fract_z
_atom_site_occupancy
Zr1 0.000 0.000 0.000 1
Ag1 0.000 0.000 0.500 1
Ag2 0.000 0.500 0.000 1
Ag3 0.500 0.000 0.000 1
H1 0.500 0.500 0.500 1

***

Q | # PBE ZrAg3H, relaxed
# - Calculated density: 8.56 Mg/m³
data_ZrAg3H
_chemical_formula_sum 'Zr1 Ag3 H1'
_space_group_name_H-M_alt 'P 1'
_space_group_IT_number 1
_cell_length_a 4.321
_cell_length_b 4.321
_cell_length_c 4.321
_cell_angle_alpha 90.00
_cell_angle_beta 90.00
_cell_angle_gamma 90.00
loop_
_space_group_symop_operation_xyz
'x,y,z'
loop_
_atom_site_label
_atom_site_fract_x
_atom_site_fract_y
_atom_site_fract_z
_atom_site_occupancy
Zr1 0.000 0.000 0.000 1
Ag1 0.000 0.500 0.500 1
Ag2 0.500 0.000 0.500 1
Ag3 0.500 0.500 0.000 1
H1 0.500 0.500 0.500 1

***

Which of them is most stable? Easy: Q.

***

P | # PBE ZrAg2H, relaxed
# - Calculated density: 7.66 Mg/m³
data_ZrAg2H
_chemical_formula_sum 'Zr2 Ag4 H2'
_space_group_name_H-M_alt 'P 1'
_space_group_IT_number 1
_cell_length_a 5.705
_cell_length_b 5.705
_cell_length_c 5.705
_cell_angle_alpha 118.85
_cell_angle_beta 118.85
_cell_angle_gamma 92.00
loop_
_space_group_symop_operation_xyz
'x,y,z'
loop_
_atom_site_label
_atom_site_fract_x
_atom_site_fract_y
_atom_site_fract_z
_atom_site_occupancy
Zr1 0.000 0.000 0.000 1
Zr2 0.750 0.250 0.500 1
Ag1 0.305 0.625 0.180 1
Ag2 0.375 0.555 0.680 1
Ag3 0.445 0.125 0.820 1
Ag4 0.875 0.695 0.320 1
H1 0.250 0.750 0.500 1
H2 0.500 0.500 0.000 1

***

Q | # PBE ZrAg2H, relaxed
# - Calculated density: 7.36 Mg/m³
data_ZrAg2H
_chemical_formula_sum 'Zr1 Ag2 H1'
_space_group_name_H-M_alt 'P 1'
_space_group_IT_number 1
_cell_length_a 4.615
_cell_length_b 4.615
_cell_length_c 4.615
_cell_angle_alpha 60.00
_cell_angle_beta 60.00
_cell_angle_gamma 60.00
loop_
_space_group_symop_operation_xyz
'x,y,z'
loop_
_atom_site_label
_atom_site_fract_x
_atom_site_fract_y
_atom_site_fract_z
_atom_site_occupancy
Zr1 0.000 0.000 0.000 1
Ag1 0.250 0.250 0.250 1
Ag2 0.750 0.750 0.750 1
H1 0.500 0.500 0.500 1

***

Which of them is most stable? Easy: P.

***

P | # PBE HfAg2Hg2, relaxed
# - Calculated density: 12.76 Mg/m³
data_HfAg2Hg2
_chemical_formula_sum 'Hf2 Ag4 Hg4'
_space_group_name_H-M_alt 'P 1'
_space_group_IT_number 1
_cell_length_a 8.124
_cell_length_b 8.124
_cell_length_c 3.136
_cell_angle_alpha 90.00
_cell_angle_beta 90.00
_cell_angle_gamma 90.00
loop_
_space_group_symop_operation_xyz
'x,y,z'
loop_
_atom_site_label
_atom_site_fract_x
_atom_site_fract_y
_atom_site_fract_z
_atom_site_occupancy
Hf1 0.000 0.000 0.000 1
Hf2 0.500 0.500 0.000 1
Ag1 0.167 0.333 0.500 1
Ag2 0.333 0.833 0.500 1
Ag3 0.667 0.167 0.500 1
Ag4 0.833 0.667 0.500 1
Hg1 0.134 0.634 0.000 1
Hg2 0.366 0.134 0.000 1
Hg3 0.634 0.866 0.000 1
Hg4 0.866 0.366 0.000 1

***

Q | # PBE HfAg2Hg2, relaxed
# - Calculated density: 12.97 Mg/m³
data_HfAg2Hg2
_chemical_formula_sum 'Hf2 Ag4 Hg4'
_space_group_name_H-M_alt 'P 1'
_space_group_IT_number 1
_cell_length_a 8.152
_cell_length_b 8.152
_cell_length_c 3.065
_cell_angle_alpha 90.00
_cell_angle_beta 90.00
_cell_angle_gamma 90.00
loop_
_space_group_symop_operation_xyz
'x,y,z'
loop_
_atom_site_label
_atom_site_fract_x
_atom_site_fract_y
_atom_site_fract_z
_atom_site_occupancy
Hf1 0.000 0.000 0.000 1
Hf2 0.500 0.500 0.000 1
Ag1 0.123 0.377 0.000 1
Ag2 0.377 0.877 0.000 1
Ag3 0.623 0.123 0.000 1
Ag4 0.877 0.623 0.000 1
Hg1 0.177 0.677 0.500 1
Hg2 0.323 0.177 0.500 1
Hg3 0.677 0.823 0.500 1
Hg4 0.823 0.323 0.500 1

***

Which of them is most stable? Easy: Q.

***

P | # PBE HfAg3Hg, relaxed
# - Calculated density: 7.51 Mg/m³
data_HfAg3Hg
_chemical_formula_sum 'Hf1 Ag3 Hg1'
_space_group_name_H-M_alt 'P 1'
_space_group_IT_number 1
_cell_length_a 5.375
_cell_length_b 5.375
_cell_length_c 5.375
_cell_angle_alpha 90.00
_cell_angle_beta 90.00
_cell_angle_gamma 90.00
loop_
_space_group_symop_operation_xyz
'x,y,z'
loop_
_atom_site_label
_atom_site_fract_x
_atom_site_fract_y
_atom_site_fract_z
_atom_site_occupancy
Hf1 0.000 0.000 0.000 1
Ag1 0.000 0.000 0.500 1
Ag2 0.000 0.500 0.000 1
Ag3 0.500 0.000 0.000 1
Hg1 0.500 0.500 0.500 1

***

Q | # PBE HfAg3Hg, relaxed
# - Calculated density: 8.97 Mg/m³
data_HfAg3Hg
_chemical_formula_sum 'Hf1 Ag3 Hg1'
_space_group_name_H-M_alt 'P 1'
_space_group_IT_number 1
_cell_length_a 5.066
_cell_length_b 5.066
_cell_length_c 5.066
_cell_angle_alpha 90.00
_cell_angle_beta 90.00
_cell_angle_gamma 90.00
loop_
_space_group_symop_operation_xyz
'x,y,z'
loop_
_atom_site_label
_atom_site_fract_x
_atom_site_fract_y
_atom_site_fract_z
_atom_site_occupancy
Hf1 0.000 0.000 0.000 1
Ag1 0.000 0.500 0.500 1
Ag2 0.500 0.000 0.500 1
Ag3 0.500 0.500 0.000 1
Hg1 0.500 0.500 0.500 1

***

Which of them is most stable? Easy: Q.